(1)
Entry from Alexandria via LeMat-Bulk: Co2HgI after structural relaxation (PBE-GGA).

Unit cell a=5.824 b=5.824 c=11.779 alpha=90.00 beta=90.00 gamma=90.00
Space group I-42d (No. 122)
One atom of each set of equivalent atoms:
Co  0.234  0.250  0.125
Hg  0.000  0.000  0.500
I  0.000  0.000  0.000

Computed properties:
Crystal system: tetragonal
Formation energy without anion corrections: 0.842 eV per atom
Spin magnetization: 0.75 μB per atom
E above lowest polymorph: 0 meV/atom
Electronic total energy: -3.174 eV per atom

---

(2)
Entry from Alexandria via LeMat-Bulk: CoHg3I after structural relaxation (PBE-GGA).

Unit cell a=5.196 b=5.196 c=5.196 alpha=90.00 beta=90.00 gamma=90.00
Space group Pm-3m (No. 221)
One atom of each set of equivalent atoms:
Co  0.000  0.000  0.000
Hg  0.000  0.000  0.500
I  0.500  0.500  0.500

Computed properties:
Crystal system: cubic
Formation energy without anion corrections: 0.297 eV per atom
Spin magnetization: 0.29 μB per atom
E above lowest polymorph: 0 meV/atom
Electronic total energy: -1.616 eV per atom

---

(3)
Entry from Alexandria via LeMat-Bulk: CoHgI5 after structural relaxation (PBE-GGA).

Unit cell a=18.445 b=7.961 c=10.298 alpha=90.00 beta=90.00 gamma=90.00
Space group Pnma (No. 62)
One atom of each set of equivalent atoms:
Co  0.167  0.250  0.057
Hg  0.013  0.750  0.284
I  0.000  0.000  0.500
I  0.131  0.512  0.177
I  0.132  0.250  0.818
I  0.199  0.750  0.554

Computed properties:
Crystal system: orthorhombic
Formation energy without anion corrections: 0.000 eV per atom
Spin magnetization: 0.56 μB per atom
Electronic total energy: -2.165 eV per atom

---

(4)
Entry from Alexandria via LeMat-Bulk: CoHg3I9 after structural relaxation (PBE-GGA).

Unit cell a=24.879 b=8.247 c=15.865 alpha=90.00 beta=125.22 gamma=90.00
Space group Cc (No. 9)
One atom of each set of equivalent atoms:
Co  0.000  0.112  0.000
Hg  0.149  0.180  0.677
Hg  0.264  0.214  0.185
Hg  0.451  0.073  0.756
I  0.028  0.054  0.654
I  0.075  0.483  0.868
I  0.090  0.002  0.987
I  0.198  0.479  0.749
I  0.251  0.332  0.018
I  0.257  0.060  0.328
I  0.328  0.170  0.649
I  0.413  0.386  0.312
I  0.474  0.126  0.541

Computed properties:
Crystal system: monoclinic
Formation energy without anion corrections: -0.144 eV per atom
Spin magnetization: 0.15 μB per atom
Electronic total energy: -1.834 eV per atom

---

(5)
Entry from Alexandria via LeMat-Bulk: Co2HgI after structural relaxation (PBE-GGA).

Unit cell a=6.543 b=6.543 c=6.543 alpha=90.00 beta=90.00 gamma=90.00
Space group Fm-3m (No. 225)
One atom of each set of equivalent atoms:
Co  0.250  0.250  0.250
Hg  0.000  0.000  0.000
I  0.000  0.000  0.500

Computed properties:
Crystal system: cubic
Formation energy without anion corrections: 0.847 eV per atom
Spin magnetization: 0.70 μB per atom
E above lowest polymorph: 5 meV/atom
Electronic total energy: -3.169 eV per atom

---

(6)
Entry from Alexandria via LeMat-Bulk: CoHgI3 after structural relaxation (PBE-GGA).

Unit cell a=5.405 b=5.405 c=5.405 alpha=90.00 beta=90.00 gamma=90.00
Space group Pm-3m (No. 221)
One atom of each set of equivalent atoms:
Co  0.000  0.000  0.000
Hg  0.500  0.500  0.500
I  0.000  0.000  0.500

Computed properties:
Crystal system: cubic
Formation energy without anion corrections: 0.212 eV per atom
Spin magnetization: 0.49 μB per atom
E above lowest polymorph: 0 meV/atom
Electronic total energy: -2.200 eV per atom

---

(7)
Entry from Alexandria via LeMat-Bulk: In2CoHgI after structural relaxation (PBE-GGA).

Unit cell a=5.144 b=5.144 c=5.144 alpha=90.00 beta=90.00 gamma=90.00
Space group P4/mmm (No. 123)
One atom of each set of equivalent atoms:
In  0.000  0.500  0.000
Co  0.000  0.000  0.000
Hg  0.000  0.000  0.500
I  0.500  0.500  0.500

Computed properties:
Crystal system: tetragonal
Formation energy without anion corrections: 0.051 eV per atom
Spin magnetization: 0.03 μB per atom
Electronic total energy: -2.836 eV per atom

---

(8)
Entry from Alexandria via LeMat-Bulk: CoHgI2N after structural relaxation (PBE-GGA).

Unit cell a=5.659 b=5.659 c=3.503 alpha=90.00 beta=90.00 gamma=90.00
Space group P4/mmm (No. 123)
One atom of each set of equivalent atoms:
Co  0.000  0.000  0.000
Hg  0.500  0.500  0.500
I  0.000  0.500  0.000
N  0.000  0.000  0.500

Computed properties:
Crystal system: tetragonal
Formation energy without anion corrections: 0.435 eV per atom
Spin magnetization: 0.00 μB per atom
E above lowest polymorph: 0 meV/atom
Electronic total energy: -3.332 eV per atom

---

(9)
Entry from Alexandria via LeMat-Bulk: CoHgI2N after structural relaxation (PBE-GGA).

Unit cell a=5.112 b=5.112 c=5.047 alpha=90.00 beta=90.00 gamma=90.00
Space group P4/mmm (No. 123)
One atom of each set of equivalent atoms:
Co  0.000  0.000  0.000
Hg  0.000  0.000  0.500
I  0.000  0.500  0.000
N  0.500  0.500  0.500

Computed properties:
Crystal system: tetragonal
Formation energy without anion corrections: 1.543 eV per atom
Spin magnetization: 0.24 μB per atom
E above lowest polymorph: 1108 meV/atom
Electronic total energy: -2.224 eV per atom

---

(10)
Entry from Alexandria via LeMat-Bulk: CoHgI2N after structural relaxation (PBE-GGA).

Unit cell a=6.138 b=6.138 c=4.089 alpha=90.00 beta=90.00 gamma=90.00
Space group P4/mmm (No. 123)
One atom of each set of equivalent atoms:
Co  0.000  0.000  0.000
Hg  0.500  0.500  0.500
I  0.000  0.500  0.500
N  0.500  0.500  0.000

Computed properties:
Crystal system: tetragonal
Formation energy without anion corrections: 1.438 eV per atom
Spin magnetization: 0.83 μB per atom
E above lowest polymorph: 1004 meV/atom
Electronic total energy: -2.328 eV per atom

---

(11)
Entry from Alexandria via LeMat-Bulk: NbCoHgI after structural relaxation (PBE-GGA).

Unit cell a=3.271 b=3.348 c=8.541 alpha=90.99 beta=100.82 gamma=91.08
Space group P1 (No. 1)
One atom of each set of equivalent atoms:
Nb  0.000  0.000  0.000
Co  0.618  0.502  0.138
Hg  0.203  0.018  0.343
I  0.377  0.974  0.727

Computed properties:
Crystal system: triclinic
Formation energy without anion corrections: 0.250 eV per atom
Spin magnetization: 0.00 μB per atom
E above lowest polymorph: 72 meV/atom
Electronic total energy: -4.507 eV per atom

---

(12)
Entry from Alexandria via LeMat-Bulk: NbCoHgI after structural relaxation (PBE-GGA).

Unit cell a=3.6115 b=3.6115 c=8.2699 alpha=90.00 beta=90.00 gamma=120.00
Space group P3m1 (No. 156)
One atom of each set of equivalent atoms:
Nb  0.0000  0.0000  0.0000
Co  0.3333  0.6667  0.1481
Hg  0.0000  0.0000  0.3717
I  0.6667  0.3333  0.7464

Computed properties:
Crystal system: trigonal
Formation energy without anion corrections: 0.178 eV per atom
Spin magnetization: 0.00 μB per atom
E above lowest polymorph: 0 meV/atom
Electronic total energy: -4.579 eV per atom